Record 1
! SrNiO3 | Alexandria | PBE with a Hubbard U | optimized geometry; values from VASP
! - total DFT energy (no corrections) (eV/atom) = -5.2677
! - crystal system = cubic
! - space-group type = Pm-3m
! - total magnetization (μB/cell) = 0.00
&SYSTEM
  ibrav = 0, nat = 5, ntyp = 3
/
ATOMIC_SPECIES
Sr 87.62 Sr.upf
Ni 58.69 Ni.upf
O 16.00 O.upf
CELL_PARAMETERS angstrom
3.891 0.000 0.000
0.000 3.891 0.000
0.000 0.000 3.891
ATOMIC_POSITIONS crystal
Sr 0.000 0.000 0.000
Ni 0.500 0.500 0.500
O 0.000 0.500 0.500
O 0.500 0.000 0.500
O 0.500 0.500 0.000


Record 2
! Sr3Ni5O12 | Alexandria | PBE with a Hubbard U | optimized geometry; values from VASP
! - total DFT energy (no corrections) (eV/atom) = -5.0263
! - crystal system = cubic
! - space-group type = Ia-3d
! - total magnetization (μB/cell) = 40.24
&SYSTEM
  ibrav = 0, nat = 80, ntyp = 3
/
ATOMIC_SPECIES
Sr 87.62 Sr.upf
Ni 58.69 Ni.upf
O 16.00 O.upf
CELL_PARAMETERS angstrom
-6.337 6.337 6.337
6.337 -6.337 6.337
6.337 6.337 -6.337
ATOMIC_POSITIONS crystal
Sr 0.125 0.250 0.375
Sr 0.125 0.375 0.750
Sr 0.250 0.375 0.125
Sr 0.250 0.875 0.625
Sr 0.375 0.125 0.250
Sr 0.375 0.750 0.125
Sr 0.625 0.250 0.875
Sr 0.625 0.875 0.750
Sr 0.750 0.125 0.375
Sr 0.750 0.625 0.875
Sr 0.875 0.625 0.250
Sr 0.875 0.750 0.625
Ni 0.000 0.000 0.000
Ni 0.000 0.000 0.500
Ni 0.000 0.500 0.000
Ni 0.000 0.500 0.500
Ni 0.125 0.750 0.875
Ni 0.125 0.875 0.250
Ni 0.250 0.125 0.875
Ni 0.250 0.625 0.375
Ni 0.375 0.250 0.625
Ni 0.375 0.625 0.750
Ni 0.500 0.000 0.000
Ni 0.500 0.000 0.500
Ni 0.500 0.500 0.000
Ni 0.500 0.500 0.500
Ni 0.625 0.375 0.250
Ni 0.625 0.750 0.375
Ni 0.750 0.375 0.625
Ni 0.750 0.875 0.125
Ni 0.875 0.125 0.750
Ni 0.875 0.250 0.125
O 0.012 0.193 0.110
O 0.012 0.320 0.902
O 0.082 0.693 0.680
O 0.082 0.890 0.402
O 0.098 0.610 0.418
O 0.098 0.988 0.680
O 0.110 0.012 0.193
O 0.110 0.598 0.918
O 0.180 0.193 0.582
O 0.180 0.488 0.598
O 0.193 0.110 0.012
O 0.193 0.582 0.180
O 0.307 0.320 0.918
O 0.307 0.488 0.390
O 0.320 0.902 0.012
O 0.320 0.918 0.307
O 0.390 0.307 0.488
O 0.390 0.582 0.902
O 0.402 0.082 0.890
O 0.402 0.820 0.512
O 0.418 0.098 0.610
O 0.418 0.820 0.807
O 0.488 0.390 0.307
O 0.488 0.598 0.180
O 0.512 0.402 0.820
O 0.512 0.610 0.693
O 0.582 0.180 0.193
O 0.582 0.902 0.390
O 0.598 0.180 0.488
O 0.598 0.918 0.110
O 0.610 0.418 0.098
O 0.610 0.693 0.512
O 0.680 0.082 0.693
O 0.680 0.098 0.988
O 0.693 0.512 0.610
O 0.693 0.680 0.082
O 0.807 0.418 0.820
O 0.807 0.890 0.988
O 0.820 0.512 0.402
O 0.820 0.807 0.418
O 0.890 0.402 0.082
O 0.890 0.988 0.807
O 0.902 0.012 0.320
O 0.902 0.390 0.582
O 0.918 0.110 0.598
O 0.918 0.307 0.320
O 0.988 0.680 0.098
O 0.988 0.807 0.890


Record 3
! SrNiO3 | Alexandria | PBE with a Hubbard U | optimized geometry; values from VASP
! - total DFT energy (no corrections) (eV/atom) = -4.7788
! - crystal system = orthorhombic
! - space-group type = Amm2
! - total magnetization (μB/cell) = 2.00
&SYSTEM
  ibrav = 0, nat = 5, ntyp = 3
/
ATOMIC_SPECIES
Sr 87.62 Sr.upf
Ni 58.69 Ni.upf
O 16.00 O.upf
CELL_PARAMETERS angstrom
3.053 0.000 0.000
0.000 3.196 5.169
0.000 -3.196 5.169
ATOMIC_POSITIONS crystal
Sr 0.000 0.000 0.000
Ni 0.500 0.352 0.352
O 0.000 0.203 0.562
O 0.000 0.562 0.203
O 0.500 0.165 0.165


Record 4
! SrNiO2 | Alexandria | PBE with a Hubbard U | optimized geometry; values from VASP
! - total DFT energy (no corrections) (eV/atom) = -5.3323
! - crystal system = monoclinic
! - space-group type = C2/c
! - total magnetization (μB/cell) = 0.00
&SYSTEM
  ibrav = 0, nat = 8, ntyp = 3
/
ATOMIC_SPECIES
Sr 87.62 Sr.upf
Ni 58.69 Ni.upf
O 16.00 O.upf
CELL_PARAMETERS angstrom
2.999 -4.070 0.000
2.999 4.070 0.000
-1.499 0.000 5.068
ATOMIC_POSITIONS crystal
Sr 0.150 0.850 0.750
Sr 0.850 0.150 0.250
Ni 0.500 0.500 0.000
Ni 0.500 0.500 0.500
O 0.214 0.345 0.678
O 0.345 0.214 0.178
O 0.655 0.786 0.822
O 0.786 0.655 0.322


Record 5
! SrNiO2 | Alexandria | PBE with a Hubbard U | optimized geometry; values from VASP
! - total DFT energy (no corrections) (eV/atom) = -5.2251
! - crystal system = monoclinic
! - space-group type = Pm
! - total magnetization (μB/cell) = 2.00
&SYSTEM
  ibrav = 0, nat = 8, ntyp = 3
/
ATOMIC_SPECIES
Sr 87.62 Sr.upf
Ni 58.69 Ni.upf
O 16.00 O.upf
CELL_PARAMETERS angstrom
5.129 0.000 0.000
0.000 3.802 0.000
-1.605 0.000 5.813
ATOMIC_POSITIONS crystal
Sr 0.000 0.000 0.000
Sr 0.417 0.000 0.529
Ni 0.512 0.500 0.982
Ni 0.806 0.500 0.442
O 0.391 0.500 0.254
O 0.456 0.000 0.935
O 0.742 0.500 0.762
O 0.916 0.000 0.422


Record 6
! SrNiO3 | Alexandria | PBE with a Hubbard U | optimized geometry; values from VASP
! - total DFT energy (no corrections) (eV/atom) = -5.2103
! - crystal system = monoclinic
! - space-group type = C2/c
! - total magnetization (μB/cell) = 0.00
&SYSTEM
  ibrav = 0, nat = 20, ntyp = 3
/
ATOMIC_SPECIES
Sr 87.62 Sr.upf
Ni 58.69 Ni.upf
O 16.00 O.upf
CELL_PARAMETERS angstrom
4.884 -5.357 0.000
4.884 5.357 0.000
-0.047 0.000 4.884
ATOMIC_POSITIONS crystal
Sr 0.072 0.283 0.136
Sr 0.283 0.072 0.636
Sr 0.717 0.928 0.364
Sr 0.928 0.717 0.864
Ni 0.289 0.711 0.250
Ni 0.434 0.566 0.750
Ni 0.566 0.434 0.250
Ni 0.711 0.289 0.750
O 0.030 0.772 0.371
O 0.208 0.583 0.929
O 0.228 0.970 0.129
O 0.335 0.459 0.423
O 0.417 0.792 0.571
O 0.459 0.335 0.923
O 0.541 0.665 0.077
O 0.583 0.208 0.429
O 0.665 0.541 0.577
O 0.772 0.030 0.871
O 0.792 0.417 0.071
O 0.970 0.228 0.629


Record 7
! SrNiO2 | Alexandria | PBE with a Hubbard U | optimized geometry; values from VASP
! - total DFT energy (no corrections) (eV/atom) = -5.2213
! - crystal system = orthorhombic
! - space-group type = Pmmm
! - total magnetization (μB/cell) = 3.03
&SYSTEM
  ibrav = 0, nat = 8, ntyp = 3
/
ATOMIC_SPECIES
Sr 87.62 Sr.upf
Ni 58.69 Ni.upf
O 16.00 O.upf
CELL_PARAMETERS angstrom
3.716 0.000 0.000
0.000 3.739 0.000
0.000 0.000 8.125
ATOMIC_POSITIONS crystal
Sr 0.000 0.000 0.242
Sr 0.000 0.000 0.758
Ni 0.500 0.500 0.000
Ni 0.500 0.500 0.500
O 0.000 0.500 0.000
O 0.500 0.000 0.500
O 0.500 0.500 0.248
O 0.500 0.500 0.752


Record 8
! SrNiO2 | Alexandria | PBE with a Hubbard U | optimized geometry; values from VASP
! - total DFT energy (no corrections) (eV/atom) = -4.4600
! - crystal system = cubic
! - space-group type = Fm-3m
! - total magnetization (μB/cell) = 2.00
&SYSTEM
  ibrav = 0, nat = 4, ntyp = 3
/
ATOMIC_SPECIES
Sr 87.62 Sr.upf
Ni 58.69 Ni.upf
O 16.00 O.upf
CELL_PARAMETERS angstrom
0.000 2.917 2.917
2.917 0.000 2.917
2.917 2.917 0.000
ATOMIC_POSITIONS crystal
Sr 0.000 0.000 0.000
Ni 0.500 0.500 0.500
O 0.250 0.250 0.250
O 0.750 0.750 0.750


What is the formula in the fourth record?
SrNiO2